The following is a PBE calculation of AcTePdPt after structural relaxation, from the Alexandria database.

a b c (Å): 7.235 7.235 7.235
angles (deg): 90.00 90.00 90.00
Space group F-43m (No. 216)
Inequivalent atoms, fractional coordinates:
Ac (0.000, 0.000, 0.000)
Te (0.000, 0.000, 0.500)
Pd (0.250, 0.250, 0.750)
Pt (0.250, 0.250, 0.250)

Results
Total magnetization, μB per cell: 0.000
Raw formation energy, eV per atom: -0.651
Calculated total energy, eV per atom: -5.2715

The following is a PBE calculation of ErPuBi2 after structural relaxation, from the Alexandria database.

a b c (Å): 4.4880 4.4880 22.5984
angles (deg): 90.00 90.00 120.00
Space group R3m (No. 160, hexagonal axes)
Inequivalent atoms, fractional coordinates:
Er (0.0000, 0.0000, 0.0000)
Pu (0.0000, 0.0000, 0.1705)
Bi (0.0000, 0.0000, 0.5850)
Bi (0.0000, 0.0000, 0.7521)

Results
Total magnetization, μB per cell: 15.249
Calculated total energy, eV per atom: -7.1348
Energy above the most stable polymorph in this dataset, kJ per mole of atoms: 9.5

The following is a PBE calculation of Ta2CuIr after structural relaxation, from the Alexandria database.

a b c (Å): 2.948 4.650 9.336
angles (deg): 90.00 90.00 90.00
Space group Imm2 (No. 44)
Inequivalent atoms, fractional coordinates:
Ta (0.000, 0.000, 0.000)
Ta (0.000, 0.500, 0.239)
Cu (0.000, 0.500, 0.758)
Ir (0.000, 0.000, 0.494)

Results
Total magnetization, μB per cell: 0.000
Calculated total energy, eV per atom: -9.2803